This record from Alexandria describes SiMo4 at its PBEsol-relaxed geometry. The functional is meta-GGA SCAN.

The value obtained for the density of states at the Fermi level is 0.251 states/eV per atom. The value obtained for the electronic total energy is -30.05 eV/atom.

The structure belongs to space group I4/m (No. 87); the cell edges are 6.806, 6.806 and 3.157 Å and the angles 90.00°, 90.00° and 90.00°. Symmetry generates all atoms from Si at (0.000, 0.000, 0.000) and Mo at (0.105, 0.301, 0.500).

---

This record from Alexandria describes SiMo3 at its PBEsol-relaxed geometry. The functional is meta-GGA SCAN.

The value obtained for the density of states at the Fermi level is 0.445 states/eV per atom. The offset from the most stable computed form is 0.000 eV per atom.

The structure belongs to space group Pm-3n (No. 223); the cell edges are 4.859, 4.859 and 4.859 Å and the angles 90.00°, 90.00° and 90.00°. Symmetry generates all atoms from Si at (0.000, 0.000, 0.000) and Mo at (0.000, 0.250, 0.500).

---

This record from Alexandria describes Si2Mo at its PBEsol-relaxed geometry. The functional is meta-GGA SCAN.

The value obtained for the density of states at the Fermi level is 0.494 states/eV per atom. The value obtained for the electronic total energy is -18.03 eV/atom.

The structure belongs to space group P4/mmm (No. 123); the cell edges are 4.283, 4.283 and 2.718 Å and the angles 90.00°, 90.00° and 90.00°. Symmetry generates all atoms from Si at (0.000, 0.500, 0.000) and Mo at (0.000, 0.000, 0.500).

---

This record from Alexandria describes SiMo3 at its PBEsol-relaxed geometry. The functional is meta-GGA SCAN.

The value obtained for the density of states at the Fermi level is 0.687 states/eV per atom. The offset from the most stable computed form is 0.262 eV per atom.

The structure belongs to space group P4/mmm (No. 123); the cell edges are 3.211, 3.211 and 5.654 Å and the angles 90.00°, 90.00° and 90.00°. Symmetry generates all atoms from Si at (0.000, 0.000, 0.000), Mo at (0.000, 0.000, 0.500) and Mo at (0.500, 0.500, 0.236).

---

This record from Alexandria describes Si3Mo at its PBEsol-relaxed geometry. The functional is meta-GGA SCAN.

The value obtained for the density of states at the Fermi level is 0.305 states/eV per atom. The offset from the most stable computed form is 0.006 eV per atom.

The structure belongs to space group Cmcm (No. 63); the cell edges are 4.927, 10.682 and 4.340 Å and the angles 90.00°, 90.00° and 90.00°. Symmetry generates all atoms from Si at (0.000, 0.201, 0.250), Si at (0.236, 0.093, 0.750) and Mo at (0.000, 0.391, 0.750).

---

This record from Alexandria describes Si3Mo5 at its PBEsol-relaxed geometry. The functional is meta-GGA SCAN.

The value obtained for the density of states at the Fermi level is 0.435 states/eV per atom. The offset from the most stable computed form is 0.000 eV per atom.

The structure belongs to space group I4/mcm (No. 140); the cell edges are 9.602, 9.602 and 4.868 Å and the angles 90.00°, 90.00° and 90.00°. Symmetry generates all atoms from Si at (0.000, 0.000, 0.250), Si at (0.167, 0.333, 0.000), Mo at (0.000, 0.500, 0.250) and Mo at (0.077, 0.224, 0.500).